(1)
## Mg2Al2Ag (GGA-PBE)

Data for an optimized crystal structure of Mg2Al2Ag.

Computed properties:
As for the space group: P-1. Its total energy is -27.31 eV per cell. The formation energy is -25 meV/atom. The total magnetic moment is 0.0 μB/f.u.

Cell lengths 5.343, 5.588, 6.974 Å; angles 73.39, 70.68, 89.95 degrees
Fractional coordinates of all 10 atoms:
Mg1 0.006 0.461 0.284
Mg2 0.198 0.959 0.295
Mg3 0.802 0.041 0.705
Mg4 0.994 0.539 0.716
Al1 0.225 0.865 0.891
Al2 0.405 0.362 0.889
Al3 0.595 0.638 0.111
Al4 0.775 0.135 0.109
Ag1 0.392 0.251 0.507
Ag2 0.608 0.749 0.493

***

(2)
## MgAl2Ag (GGA-PBE)

Data for an optimized crystal structure of MgAl2Ag.

Computed properties:
As for the space group: P4/mmm. Its total energy is -12.01 eV per cell. The formation energy is -20 meV/atom. The total magnetic moment is 0.0 μB/f.u.

Cell lengths 2.991, 2.991, 8.051 Å; angles 90.00, 90.00, 90.00 degrees
Fractional coordinates of all 4 atoms:
Mg1 0.000 0.000 0.000
Al1 0.500 0.500 0.265
Al2 0.500 0.500 0.735
Ag1 0.000 0.000 0.500

***

(3)
## MgAl6Ag (GGA-PBE)

Data for an optimized crystal structure of MgAl6Ag.

Computed properties:
As for the space group: C2/m. Its total energy is -26.21 eV per cell. The formation energy is 86 meV/atom. The total magnetic moment is 0.0 μB/f.u.

Cell lengths 5.488, 5.488, 5.552 Å; angles 98.41, 98.41, 114.36 degrees
Fractional coordinates of all 8 atoms:
Mg1 0.000 0.000 0.000
Al1 0.067 0.561 0.263
Al2 0.439 0.933 0.737
Al3 0.452 0.452 0.740
Al4 0.548 0.548 0.260
Al5 0.561 0.067 0.263
Al6 0.933 0.439 0.737
Ag1 0.000 0.000 0.500

***

(4)
## Mg4Al2Ag (GGA-PBE)

Data for an optimized crystal structure of Mg4Al2Ag.

Computed properties:
As for the space group: P2_1/m. Its total energy is -33.26 eV per cell. The formation energy is 12 meV/atom. The total magnetic moment is 0.0 μB/f.u.

Cell lengths 7.055, 5.947, 7.582 Å; angles 90.00, 112.74, 90.00 degrees
Fractional coordinates of all 14 atoms:
Mg1 0.018 0.250 0.354
Mg2 0.235 0.002 0.095
Mg3 0.235 0.498 0.095
Mg4 0.416 0.750 0.529
Mg5 0.584 0.250 0.471
Mg6 0.765 0.502 0.905
Mg7 0.765 0.998 0.905
Mg8 0.982 0.750 0.646
Al1 0.003 0.250 0.739
Al2 0.371 0.250 0.730
Al3 0.629 0.750 0.270
Al4 0.997 0.750 0.261
Ag1 0.416 0.750 0.887
Ag2 0.584 0.250 0.113

***

(5)
## MgAl2Ag (GGA-PBE)

Data for an optimized crystal structure of MgAl2Ag.

Computed properties:
As for the space group: Pm. Its total energy is -12.04 eV per cell. The formation energy is -26 meV/atom. The total magnetic moment is 0.0 μB/f.u.

Cell lengths 3.301, 4.219, 5.554 Å; angles 90.00, 107.21, 90.00 degrees
Fractional coordinates of all 4 atoms:
Mg1 0.000 0.000 0.000
Al1 0.333 0.500 0.663
Al2 0.738 0.000 0.480
Ag1 0.590 0.500 0.180

***

(6)
## Mg2Al3Ag7 (GGA-PBE)

Data for an optimized crystal structure of Mg2Al3Ag7.

Computed properties:
As for the space group: P2/m. Its total energy is -34.67 eV per cell. The formation energy is -25 meV/atom. The total magnetic moment is 0.0 μB/f.u.

Cell lengths 5.388, 2.888, 13.844 Å; angles 90.00, 94.98, 90.00 degrees
Fractional coordinates of all 12 atoms:
Mg1 0.073 0.000 0.176
Mg2 0.927 0.000 0.824
Al1 0.446 0.500 0.838
Al2 0.500 0.000 0.500
Al3 0.554 0.500 0.162
Ag1 0.000 0.500 0.500
Ag2 0.227 0.000 0.673
Ag3 0.251 0.000 0.992
Ag4 0.296 0.500 0.339
Ag5 0.704 0.500 0.661
Ag6 0.749 0.000 0.008
Ag7 0.773 0.000 0.327